(1)
## PrBe2SiPd2 (PBE-GGA)

Data for crystalline PrBe2SiPd2 at its relaxed geometry.

Lattice parameters (Å, degrees): 4.1739 4.1739 5.7624 90.00 90.00 90.00
Closest atoms and distances in Å follow each position.
Fractional positions:
Pr 0.0000 0.0000 0.0000  2 Si 2.88
Be 0.0000 0.5000 0.5000  2 Si 2.09
Be 0.5000 0.0000 0.5000  2 Si 2.09
Si 0.0000 0.0000 0.5000  4 Be 2.09
Pd 0.5000 0.5000 0.2539  4 Be 2.52
Pd 0.5000 0.5000 0.7461  4 Be 2.52

Density of states at the Fermi level (states/eV/atom): 0.286
Energy relative to the elements, uncorrected (eV per atom): -0.22
Space group: No. 123

(2)
## Ba6Sn7S20 (PBE-GGA)

Data for crystalline Ba6Sn7S20 at its relaxed geometry.

Lattice parameters (Å, degrees): 12.8365 12.8365 23.5832 90.20 90.20 29.26
Closest atoms and distances in Å follow each position.
Fractional positions:
Ba 0.0471 0.6410 0.7029  8 S 3.24-3.58
Ba 0.0528 0.4180 0.1006  8 S 3.13-3.44
Ba 0.2094 0.7208 0.9242  7 S 3.18-3.47
Ba 0.2792 0.7906 0.5758  7 S 3.18-3.47
Ba 0.3590 0.9529 0.7971  8 S 3.24-3.58
Ba 0.4180 0.0528 0.6006  8 S 3.13-3.44
Ba 0.5820 0.9472 0.3994  8 S 3.13-3.44
Ba 0.6410 0.0471 0.2029  8 S 3.24-3.58
Ba 0.7208 0.2094 0.4242  7 S 3.18-3.47
Ba 0.7906 0.2792 0.0758  7 S 3.18-3.47
Ba 0.9472 0.5820 0.8994  8 S 3.13-3.44
Ba 0.9529 0.3590 0.2971  8 S 3.24-3.58
Sn 0.1221 0.5949 0.3265  4 S 2.36-2.52
Sn 0.1239 0.5279 0.4999  5 S 2.42-2.68
Sn 0.3015 0.5177 0.0977  3 S 2.38-2.50
Sn 0.3495 0.6505 0.2500  4 S 2.40-2.48
Sn 0.4051 0.8779 0.1735  4 S 2.36-2.52
Sn 0.4721 0.8761 0.0001  5 S 2.42-2.68
Sn 0.4823 0.6985 0.4023  3 S 2.38-2.50
Sn 0.5177 0.3015 0.5977  3 S 2.38-2.50
Sn 0.5279 0.1239 0.9999  5 S 2.42-2.68
Sn 0.5949 0.1221 0.8265  4 S 2.36-2.52
Sn 0.6505 0.3495 0.7500  4 S 2.40-2.48
Sn 0.6985 0.4823 0.9023  3 S 2.38-2.50
Sn 0.8761 0.4721 0.5001  5 S 2.42-2.68
Sn 0.8779 0.4051 0.6735  4 S 2.36-2.52
S 0.0216 0.2346 0.5768  2 Sn 2.48-2.52
S 0.0216 0.8544 0.2874  2 Sn 2.48
S 0.0677 0.4135 0.4307  2 Sn 2.47-2.68
S 0.1193 0.3203 0.7113  1 Sn 2.38
S 0.1298 0.5593 0.1665  1 Sn 2.39
S 0.1347 0.6661 0.5736  2 Sn 2.50-2.57
S 0.1456 0.9784 0.2126  2 Sn 2.48
S 0.1733 0.5073 0.0062  1 Sn 2.42
S 0.2346 0.0216 0.0768  2 Sn 2.48-2.52
S 0.2398 0.4920 0.8319  1 Sn 2.36
S 0.2445 0.7344 0.0568  1 Sn 2.38
S 0.2656 0.7555 0.4432  1 Sn 2.38
S 0.3203 0.1193 0.2113  1 Sn 2.38
S 0.3339 0.8653 0.9264  2 Sn 2.50-2.57
S 0.3762 0.5525 0.6815  1 Sn 2.40
S 0.4135 0.0677 0.9307  2 Sn 2.47-2.68
S 0.4407 0.8702 0.3335  1 Sn 2.39
S 0.4475 0.6238 0.8185  1 Sn 2.40
S 0.4920 0.2398 0.3319  1 Sn 2.36
S 0.4927 0.8267 0.4938  1 Sn 2.42
S 0.5073 0.1733 0.5062  1 Sn 2.42
S 0.5080 0.7602 0.6681  1 Sn 2.36
S 0.5525 0.3762 0.1815  1 Sn 2.40
S 0.5593 0.1298 0.6665  1 Sn 2.39
S 0.5865 0.9323 0.0693  2 Sn 2.47-2.68
S 0.6238 0.4475 0.3185  1 Sn 2.40
S 0.6661 0.1347 0.0736  2 Sn 2.50-2.57
S 0.6797 0.8807 0.7887  1 Sn 2.38
S 0.7344 0.2445 0.5568  1 Sn 2.38
S 0.7555 0.2656 0.9432  1 Sn 2.38
S 0.7602 0.5080 0.1681  1 Sn 2.36
S 0.7654 0.9784 0.9232  2 Sn 2.48-2.52
S 0.8267 0.4927 0.9938  1 Sn 2.42
S 0.8544 0.0216 0.7874  2 Sn 2.48
S 0.8653 0.3339 0.4264  2 Sn 2.50-2.57
S 0.8702 0.4407 0.8335  1 Sn 2.39
S 0.8807 0.6797 0.2887  1 Sn 2.38
S 0.9323 0.5865 0.5693  2 Sn 2.47-2.68
S 0.9784 0.1456 0.7126  2 Sn 2.48
S 0.9784 0.7654 0.4232  2 Sn 2.48-2.52

Energy relative to the elements, uncorrected (eV per atom): -1.05
Space group: No. 15

(3)
## Hf2Si2I (PBE-GGA)

Data for crystalline Hf2Si2I at its relaxed geometry.

Lattice parameters (Å, degrees): 3.6113 3.6113 15.1402 90.00 90.00 90.00
Closest atoms and distances in Å follow each position.
Fractional positions:
Hf 0.0000 0.0000 0.1156  4 Si 2.72
Hf 0.0000 0.0000 0.8844  4 Si 2.72
Hf 0.5000 0.5000 0.3844  4 Si 2.72
Hf 0.5000 0.5000 0.6156  4 Si 2.72
Si 0.0000 0.5000 0.2500  4 Si 2.55, 4 Hf 2.72
Si 0.0000 0.5000 0.7500  4 Si 2.55, 4 Hf 2.72
Si 0.5000 0.0000 0.2500  4 Si 2.55, 4 Hf 2.72
Si 0.5000 0.0000 0.7500  4 Si 2.55, 4 Hf 2.72
I 0.0000 0.0000 0.5000  8 Hf 3.10
I 0.5000 0.5000 0.0000  8 Hf 3.10

Offset from the most stable computed form (meV per atom): 41.9
Density of states at the Fermi level (states/eV/atom): 0.498
Energy relative to the elements, uncorrected (eV per atom): -0.21
Space group: No. 139

(4)
## Pu2TlCuSe4 (PBE-GGA)

Data for crystalline Pu2TlCuSe4 at its relaxed geometry.

Lattice parameters (Å, degrees): 7.4497 7.4497 14.3371 90.00 90.00 147.60
Closest atoms and distances in Å follow each position.
Fractional positions:
Pu 0.1332 0.8668 0.5611  6 Se 2.87-2.95
Pu 0.1332 0.8668 0.9389  6 Se 2.87-2.95
Pu 0.8668 0.1332 0.0611  6 Se 2.87-2.95
Pu 0.8668 0.1332 0.4389  6 Se 2.87-2.95
Tl 0.3896 0.6104 0.7500  6 Se 3.29-3.39
Tl 0.6104 0.3896 0.2500  6 Se 3.29-3.39
Cu 0.3389 0.6611 0.2500  4 Se 2.46-2.47
Cu 0.6611 0.3389 0.7500  4 Se 2.46-2.47
Se 0.0675 0.9325 0.7500  2 Cu 2.47
Se 0.2370 0.7630 0.1120  1 Cu 2.46
Se 0.2370 0.7630 0.3880  1 Cu 2.46
Se 0.5000 0.5000 0.0000  4 Pu 2.95
Se 0.5000 0.5000 0.5000  4 Pu 2.95
Se 0.7630 0.2370 0.6120  1 Cu 2.46
Se 0.7630 0.2370 0.8880  1 Cu 2.46
Se 0.9325 0.0675 0.2500  2 Cu 2.47

Density of states at the Fermi level (states/eV/atom): 2.450
Energy relative to the elements, uncorrected (eV per atom): -1.06
Space group: No. 63

(5)
## KMnCdCl6 (PBE-GGA)

Data for crystalline KMnCdCl6 at its relaxed geometry.

Lattice parameters (Å, degrees): 6.6557 6.6557 13.6473 90.00 90.00 120.00
Closest atoms and distances in Å follow each position.
Fractional positions:
K 0.0000 0.0000 0.0000  6 Cl 3.19
K 0.0000 0.0000 0.5000  6 Cl 3.19
Mn 0.3333 0.6667 0.2500  6 Cl 2.41
Mn 0.6667 0.3333 0.7500  6 Cl 2.41
Cd 0.3333 0.6667 0.7500  6 Cl 2.66
Cd 0.6667 0.3333 0.2500  6 Cl 2.66
Cl 0.0288 0.3881 0.1463  1 Mn 2.41, 1 Cd 2.66
Cl 0.0288 0.6407 0.3537  1 Mn 2.41, 1 Cd 2.66
Cl 0.3593 0.3881 0.3537  1 Mn 2.41, 1 Cd 2.66
Cl 0.3593 0.9712 0.1463  1 Mn 2.41, 1 Cd 2.66
Cl 0.3881 0.0288 0.6463  1 Mn 2.41, 1 Cd 2.66
Cl 0.3881 0.3593 0.8537  1 Mn 2.41, 1 Cd 2.66
Cl 0.6119 0.6407 0.1463  1 Mn 2.41, 1 Cd 2.66
Cl 0.6119 0.9712 0.3537  1 Mn 2.41, 1 Cd 2.66
Cl 0.6407 0.0288 0.8537  1 Mn 2.41, 1 Cd 2.66
Cl 0.6407 0.6119 0.6463  1 Mn 2.41, 1 Cd 2.66
Cl 0.9712 0.3593 0.6463  1 Mn 2.41, 1 Cd 2.66
Cl 0.9712 0.6119 0.8537  1 Mn 2.41, 1 Cd 2.66

Density of states at the Fermi level (states/eV/atom): 0.733
Energy relative to the elements, uncorrected (eV per atom): -1.22
Space group: No. 163

(6)
## BaZrAg2 (PBE-GGA)

Data for crystalline BaZrAg2 at its relaxed geometry.

Lattice parameters (Å, degrees): 4.8855 4.8855 17.6918 90.00 90.00 120.00
Closest atoms and distances in Å follow each position.
Fractional positions:
Ba 0.0000 0.0000 0.0000  8 Ag 3.43-3.75
Ba 0.3333 0.6667 0.6667  8 Ag 3.43-3.75
Ba 0.6667 0.3333 0.3333  8 Ag 3.43-3.75
Zr 0.0000 0.0000 0.5000  6 Ag 2.86
Zr 0.3333 0.6667 0.1667  6 Ag 2.86
Zr 0.6667 0.3333 0.8333  6 Ag 2.86
Ag 0.0000 0.0000 0.1937  3 Zr 2.86, 3 Ag 2.98
Ag 0.0000 0.0000 0.8063  3 Zr 2.86, 3 Ag 2.98
Ag 0.3333 0.6667 0.4730  3 Zr 2.86, 3 Ag 2.98
Ag 0.3333 0.6667 0.8604  3 Zr 2.86, 3 Ag 2.98
Ag 0.6667 0.3333 0.1396  3 Zr 2.86, 3 Ag 2.98
Ag 0.6667 0.3333 0.5270  3 Zr 2.86, 3 Ag 2.98

Offset from the most stable computed form (meV per atom): 69.5
E_form (eV per atom): 0.08
Density of states at the Fermi level (states/eV/atom): 0.418
Space group: No. 166